This record from the Alexandria database describes a relaxed structure of Li3NiC. The functional is PBE-GGA.

```
Li3NiC
1.0
-2.480 -1.375 -3.379
-1.704 -3.176 2.543
-3.225 2.734 1.255
Ni C Li
1 1 3
Cartesian
0.000 0.000 0.000
-3.704 -0.908 0.209
-0.852 -1.588 1.271
-1.613 1.367 0.627
-1.240 -0.687 -1.689
```

Its energy above the most stable polymorph in this dataset is 0.7296 eV per atom. The theoretical density comes out at 1.77 g/cm³. The density of states at the Fermi level is 2.59 states/eV/f.u. Its electronic total energy is -13.5 eV per cell. The space group is Pm-3m (221).

This record from the Alexandria database describes a relaxed structure of LiNi3C. The functional is PBE-GGA.

```
LiNi3C
1.0
-0.575 3.062 -1.292
-1.450 0.949 2.894
5.636 1.977 2.177
Ni C Li
3 1 1
Cartesian
4.275 1.500 1.651
2.458 2.495 0.414
2.021 1.438 2.507
1.016 2.717 1.584
0.963 0.338 0.372
```

Its energy above the most stable polymorph in this dataset is 0.6024 eV per atom. The theoretical density comes out at 4.48 g/cm³. The density of states at the Fermi level is 7.98 states/eV/f.u. Its electronic total energy is -25.9 eV per cell. The space group is P4mm (99).

This record from the Alexandria database describes a relaxed structure of LiNi3C. The functional is PBE-GGA.

```
LiNi3C
1.0
13.272 0.000 0.389
5.094 1.291 -3.026
-5.094 1.291 3.026
Ni C Li
6 2 2
Cartesian
7.643 1.291 1.013
5.630 1.291 -0.624
-1.665 1.291 2.113
14.938 1.291 -1.724
8.128 1.291 -1.425
5.144 1.291 1.814
3.461 1.291 2.986
9.812 1.291 -2.597
17.186 1.291 -2.612
-3.913 1.291 3.000
```

Its energy above the most stable polymorph in this dataset is 0.3186 eV per atom. The theoretical density comes out at 5.95 g/cm³. The density of states at the Fermi level is 4.04 states/eV/f.u. Its electronic total energy is -54.6 eV per cell. The space group is C2/m (12).

This record from the Alexandria database describes a relaxed structure of LiNi3C. The functional is PBE-GGA.

```
LiNi3C
1.0
5.248 0.000 0.000
-2.554 4.594 0.000
2.555 -1.490 4.345
Ni C Li
6 2 2
Cartesian
2.922 0.443 2.708
1.586 2.706 2.825
4.210 2.773 2.920
1.704 1.311 0.541
2.992 3.640 0.752
4.329 1.377 0.635
2.957 2.042 1.730
2.888 -1.000 3.903
5.546 0.518 2.813
0.368 3.565 0.648
```

Its energy above the most stable polymorph in this dataset is 0.0188 eV per atom. The theoretical density comes out at 6.18 g/cm³. The density of states at the Fermi level is 4.26 states/eV/f.u. Its electronic total energy is -57.6 eV per cell. The space group is C2/c (15).